[1]
First-principles (GGA-PBE) data for crystalline Ac2ScRuO8 at its relaxed geometry, as listed in the Alexandria database.

Cell: 4.597 6.137 6.478 Å, 90.21 94.13 104.67°
Fractional coordinates of all 12 atoms:
Ac 0.235 0.446 0.249
Ac 0.765 0.554 0.751
Sc 0.500 0.000 0.000
Ru 0.500 0.000 0.500
O 0.236 0.710 0.540
O 0.247 0.052 0.255
O 0.277 0.667 0.944
O 0.325 0.144 0.704
O 0.675 0.856 0.296
O 0.723 0.333 0.056
O 0.753 0.948 0.745
O 0.764 0.290 0.460

Values from the calculation:
Size of the total moment ... 1.01 μB/f.u.
Space-group type ... P-1
Formation energy (no corrections) ... -2298 meV/atom

=====

[2]
First-principles (GGA-PBE) data for crystalline Ta2InRh at its relaxed geometry, as listed in the Alexandria database.

Cell: 9.692 9.692 9.692 Å, 17.53 17.53 17.53°
Fractional coordinates of all 4 atoms:
Ta 0.244 0.244 0.244
Ta 0.756 0.756 0.756
In 0.000 0.000 0.000
Rh 0.500 0.500 0.500

Values from the calculation:
Size of the total moment ... 0.00 μB/f.u.
Space-group type ... R-3m

=====

[3]
First-principles (GGA-PBE) data for crystalline SnTe2Se2 at its relaxed geometry, as listed in the Alexandria database.

Cell: 8.284 8.284 3.977 Å, 90.00 90.00 90.00°
Fractional coordinates of all 10 atoms:
Sn 0.000 0.000 0.000
Sn 0.500 0.500 0.000
Te 0.151 0.349 0.000
Te 0.349 0.849 0.000
Te 0.651 0.151 0.000
Te 0.849 0.651 0.000
Se 0.173 0.673 0.500
Se 0.327 0.173 0.500
Se 0.673 0.827 0.500
Se 0.827 0.327 0.500

Values from the calculation:
Size of the total moment ... 0.00 μB/f.u.
Space-group type ... P4/mbm
Formation energy (no corrections) ... 140 meV/atom
Offset from the most stable computed form ... 19 meV per atom

=====

[4]
First-principles (GGA-PBE) data for crystalline Mn2AsOs at its relaxed geometry, as listed in the Alexandria database.

Cell: 4.541 4.541 2.889 Å, 90.00 90.00 111.84°
Fractional coordinates of all 4 atoms:
Mn 0.000 0.500 0.000
Mn 0.500 0.000 0.000
As 0.000 0.000 0.500
Os 0.500 0.500 0.500

Values from the calculation:
Size of the total moment ... 5.72 μB/f.u.
Space-group type ... Cmmm

=====

[5]
First-principles (GGA-PBE) data for crystalline Tb4HgSbSe2 at its relaxed geometry, as listed in the Alexandria database.

Cell: 7.155 4.159 7.592 Å, 90.00 108.37 90.00°
Fractional coordinates of all 8 atoms:
Tb 0.245 0.000 0.236
Tb 0.253 0.500 0.766
Tb 0.747 0.500 0.234
Tb 0.755 0.000 0.764
Hg 0.000 0.000 0.500
Sb 0.500 0.500 0.500
Se 0.000 0.500 0.000
Se 0.500 0.000 0.000

Values from the calculation:
Size of the total moment ... 0.00 μB/f.u.
Space-group type ... P2/m
Formation energy (no corrections) ... -1262 meV/atom

=====

[6]
First-principles (GGA-PBE) data for crystalline Sm2Pd5Pt4 at its relaxed geometry, as listed in the Alexandria database.

Cell: 5.943 5.943 8.669 Å, 122.13 122.13 55.92°
Fractional coordinates of all 11 atoms:
Sm 0.200 0.200 0.269
Sm 0.800 0.800 0.731
Pd 0.247 0.730 0.323
Pd 0.270 0.753 0.677
Pd 0.500 0.500 0.000
Pd 0.730 0.247 0.323
Pd 0.753 0.270 0.677
Pt 0.236 0.236 0.633
Pt 0.243 0.243 0.983
Pt 0.757 0.757 0.017
Pt 0.764 0.764 0.367

Values from the calculation:
Size of the total moment ... 0.00 μB/f.u.
Space-group type ... C2/m

=====

Number 1: E_tot -7.589 eV per atom. Number 2: E_tot -8.408 eV per atom. Number 3: E_tot -3.312 eV per atom. Number 4: E_tot -8.446 eV per atom. Number 5: E_tot -5.002 eV per atom. Number 6: E_tot -5.946 eV per atom.